A geometry-optimized BaCaHf2 structure. Source: Alexandria, functional GGA-PBE.

Unit cell a=8.992 b=8.992 c=6.215 alpha=90.00 beta=90.00 gamma=90.00
Space group I-42d (No. 122)
Symmetry-distinct sites (fractional):
Ba1 0.000 0.000 0.000 (multiplicity 4)
Ca1 0.000 0.000 0.500 (multiplicity 4)
Hf1 0.248 0.250 0.625 (multiplicity 8)

Output
VASP energy ... -0.17777 Ha/atom
Formation energy ... 1120 meV/atom
Relative energy among the computed polymorphs ... 146 meV/atom
Crystal system ... tetragonal